# 1
## Ga8Ag6Sn (PBE-GGA)

Data for a geometry-optimized Ga8Ag6Sn structure.

As for the total moment: 0.0000 μB/atom. Its density of states at the Fermi level is 13.600 states/eV/cell. For the energy of formation from the pure elements, the calculation gives 28 meV per atom.

The structure belongs to space group R-3 (No. 148, hexagonal axes); the cell edges are 7.9047, 7.9047 and 15.8566 Å and the angles 90.00°, 90.00° and 120.00°. The asymmetric unit holds Ga at (0.0000, 0.0000, 0.2167), Ga at (0.0046, 0.3274, 0.5271), Ag at (0.0372, 0.8032, 0.6425) and Sn at (0.0000, 0.0000, 0.0000).

# 2
## NbGa3Ir (PBE-GGA)

Data for a geometry-optimized NbGa3Ir structure.

As for the total moment: 0.6137 μB/atom. Its density of states at the Fermi level is 4.317 states/eV/cell. For the energy of formation from the pure elements, the calculation gives 497 meV per atom. The value obtained for the energy above the most stable polymorph in this dataset is 0.0 meV/atom.

The structure belongs to space group Pm-3m (No. 221); the cell edges are 4.7313, 4.7313 and 4.7313 Å and the angles 90.00°, 90.00° and 90.00°. The asymmetric unit holds Nb at (0.0000, 0.0000, 0.0000), Ga at (0.0000, 0.5000, 0.5000) and Ir at (0.5000, 0.5000, 0.5000).

# 3
## LiYCr3 (PBE-GGA)

Data for a geometry-optimized LiYCr3 structure.

As for the total moment: 2.1484 μB/atom. Its density of states at the Fermi level is 6.304 states/eV/cell. For the energy of formation from the pure elements, the calculation gives 1852 meV per atom. The value obtained for the energy above the most stable polymorph in this dataset is 814.4 meV/atom.

The structure belongs to space group Pm-3m (No. 221); the cell edges are 5.0418, 5.0418 and 5.0418 Å and the angles 90.00°, 90.00° and 90.00°. The asymmetric unit holds Li at (0.0000, 0.0000, 0.0000), Y at (0.5000, 0.5000, 0.5000) and Cr at (0.0000, 0.5000, 0.5000).